Record 1
The following is a DFT calculation (PBE) of a relaxed Ac3ZnPd8Pb2 crystal.

Geometry as POSCAR:
```
Ac3ZnPd8Pb2
1.0
5.7037 0.0000 0.0000
-2.8518 4.9395 0.0000
0.0000 0.0000 10.9522
Ac Zn Pd Pb
3 1 8 2
direct
0.0000 0.0000 0.0000
0.3333 0.6667 0.5825
0.6667 0.3333 0.4175
0.0000 0.0000 0.5000
0.1629 0.3259 0.3064
0.1629 0.8371 0.3064
0.3259 0.1629 0.6936
0.3333 0.6667 0.8539
0.6667 0.3333 0.1461
0.6741 0.8371 0.3064
0.8371 0.1629 0.6936
0.8371 0.6741 0.6936
0.3333 0.6667 0.1067
0.6667 0.3333 0.8933
```

- formation energy (meV/atom) = -574
- crystal system = trigonal
- D(E_F) (states/eV per cell) = 6.759
- final energy (eV per cell) = -70.60



Record 2
The following is a DFT calculation (PBE) of a relaxed Dy3Cd9Ag2 crystal.

Geometry as POSCAR:
```
Dy3Cd9Ag2
1.0
-2.3965 5.3387 6.3256
2.3965 -5.3387 6.3256
2.3965 5.3387 -6.3256
Dy Cd Ag
3 9 2
direct
0.0000 0.0000 0.0000
0.2883 0.2883 0.0000
0.7117 0.7117 0.0000
0.0054 0.6359 0.3695
0.1346 0.8569 0.2777
0.2665 0.6359 0.6305
0.4208 0.1431 0.2777
0.5000 0.0000 0.5000
0.5792 0.8569 0.7223
0.7335 0.3641 0.3695
0.8654 0.1431 0.7223
0.9946 0.3641 0.6305
0.3483 0.5000 0.8483
0.6517 0.5000 0.1517
```

- formation energy (meV/atom) = -217
- crystal system = orthorhombic
- D(E_F) (states/eV per cell) = 7.722
- final energy (eV per cell) = -30.78



Record 3
The following is a DFT calculation (PBE) of a relaxed PrY2Ru9 crystal.

Geometry as POSCAR:
```
PrY2Ru9
1.0
2.6607 1.5361 8.6794
-2.6607 1.5361 8.6794
0.0000 -3.0723 8.6794
Pr Y Ru
1 2 9
direct
0.0000 0.0000 0.0000
0.1397 0.1397 0.1397
0.8603 0.8603 0.8603
0.0715 0.5893 0.5893
0.3387 0.3387 0.3387
0.4107 0.4107 0.9285
0.4107 0.9285 0.4107
0.5000 0.5000 0.5000
0.5893 0.0715 0.5893
0.5893 0.5893 0.0715
0.6613 0.6613 0.6613
0.9285 0.4107 0.4107
```

- formation energy (meV/atom) = -97
- crystal system = trigonal
- D(E_F) (states/eV per cell) = 17.316
- final energy (eV per cell) = -102.36



Record 4
The following is a DFT calculation (PBE) of a relaxed La2TlSb2 crystal.

Geometry as POSCAR:
```
La2TlSb2
1.0
8.7506 0.0000 0.0000
0.0000 8.7506 0.0000
0.0000 0.0000 4.2319
La Tl Sb
4 2 4
direct
0.1541 0.3459 0.0000
0.3459 0.8459 0.0000
0.6541 0.1541 0.0000
0.8459 0.6541 0.0000
0.0000 0.0000 0.5000
0.5000 0.5000 0.5000
0.1480 0.6480 0.5000
0.3520 0.1480 0.5000
0.6480 0.8520 0.5000
0.8520 0.3520 0.5000
```

- crystal system = tetragonal
- offset from the most stable computed form (meV per atom) = 0
- formation energy without anion corrections (eV/atom) = -0.883
- D(E_F) (states/eV per cell) = 3.344
- final energy (eV per cell) = -49.76



Record 5
The following is a DFT calculation (PBE) of a relaxed CaLaI5 crystal.

Geometry as POSCAR:
```
CaLaI5
1.0
9.4182 0.0000 0.0000
0.0000 4.5228 0.0000
-1.3046 0.0000 15.1743
Ca La I
2 2 10
direct
0.0878 0.2500 0.1333
0.9122 0.7500 0.8667
0.4113 0.7500 0.3452
0.5887 0.2500 0.6548
0.0728 0.7500 0.3089
0.1366 0.2500 0.9270
0.3185 0.2500 0.4845
0.3404 0.7500 0.1319
0.3775 0.7500 0.7093
0.6225 0.2500 0.2907
0.6596 0.2500 0.8681
0.6815 0.7500 0.5155
0.8634 0.7500 0.0730
0.9272 0.2500 0.6911
```

- crystal system = monoclinic
- offset from the most stable computed form (meV per atom) = 36
- formation energy without anion corrections (eV/atom) = -1.512
- D(E_F) (states/eV per cell) = 0.000
- final energy (eV per cell) = -50.52



Record 6
The following is a DFT calculation (PBE) of a relaxed Dy2MgBe crystal.

Geometry as POSCAR:
```
Dy2MgBe
1.0
3.4470 0.0000 0.0000
0.0000 3.4470 0.0000
0.0000 0.0000 7.8981
Dy Mg Be
2 1 1
direct
0.0000 0.0000 0.2065
0.0000 0.0000 0.7935
0.5000 0.5000 0.5000
0.5000 0.5000 0.0000
```

- formation energy (meV/atom) = 2
- crystal system = tetragonal
- offset from the most stable computed form (meV per atom) = 0
- D(E_F) (states/eV per cell) = 4.106
- final energy (eV per cell) = -14.52



Record 7
The following is a DFT calculation (PBE) of a relaxed In2HgGe2 crystal.

Geometry as POSCAR:
```
In2HgGe2
1.0
8.8331 0.0000 0.0000
0.0000 8.8331 0.0000
0.0000 0.0000 3.1527
In Hg Ge
4 2 4
direct
0.1732 0.3268 0.0000
0.3268 0.8268 0.0000
0.6732 0.1732 0.0000
0.8268 0.6732 0.0000
0.0000 0.0000 0.0000
0.5000 0.5000 0.0000
0.1201 0.6201 0.5000
0.3799 0.1201 0.5000
0.6201 0.8799 0.5000
0.8799 0.3799 0.5000
```

- formation energy (meV/atom) = 198
- crystal system = tetragonal
- offset from the most stable computed form (meV per atom) = 69
- D(E_F) (states/eV per cell) = 4.096
- final energy (eV per cell) = -28.05



Record 8
The following is a DFT calculation (PBE) of a relaxed Tb4CeEr3 crystal.

Geometry as POSCAR:
```
Tb4CeEr3
1.0
11.2686 0.0000 0.0000
0.0000 7.2160 0.0000
0.0000 0.0000 6.2323
Tb Ce Er
8 2 6
direct
0.0000 0.1282 0.0000
0.0000 0.8717 0.4975
0.2498 0.1272 0.3373
0.2502 0.8728 0.8373
0.5000 0.1283 0.9975
0.5000 0.8718 0.5000
0.7502 0.1272 0.3373
0.7498 0.8728 0.8373
0.0000 0.3765 0.4999
0.5000 0.6235 0.9999
0.0000 0.6226 0.0026
0.2497 0.3777 0.8316
0.2503 0.6223 0.3316
0.5000 0.3774 0.5026
0.7503 0.3777 0.8316
0.7497 0.6223 0.3316
```

- formation energy (meV/atom) = 38
- crystal system = orthorhombic
- offset from the most stable computed form (meV per atom) = 0
- D(E_F) (states/eV per cell) = 30.508
- final energy (eV per cell) = -75.68